No. 1
ZrCoGePt2 | meta-GGA SCAN | PBEsol geometry

```
ZrCoGePt2
1.0
4.602 0.000 0.000
0.000 4.602 0.000
0.000 0.000 4.208
Zr Co Ge Pt
1 1 1 2
Direct
0.000 0.000 0.000 Zr
0.500 0.500 0.500 Co
0.500 0.500 0.000 Ge
0.000 0.500 0.500 Pt
0.500 0.000 0.500 Pt
```

Output
Total energy (eV per atom): -41.398
DOS at the Fermi energy (states/eV/atom): 0.873
Calculated formation energy (eV per atom): 0.097
Density (g/cm3): 11.422

No. 2
Rb2CoGeTe | meta-GGA SCAN | PBEsol geometry

```
Rb2CoGeTe
1.0
6.743 0.000 0.000
0.000 6.743 0.000
0.000 0.000 5.173
Rb Co Ge Te
2 1 1 1
Direct
0.000 0.500 0.000 Rb
0.500 0.000 0.000 Rb
0.000 0.000 0.500 Co
0.500 0.500 0.000 Ge
0.500 0.500 0.500 Te
```

Output
Total energy (eV per atom): -22.523
DOS at the Fermi energy (states/eV/atom): 1.690
Density (g/cm3): 3.037

No. 3
Co2ReGe2 | meta-GGA SCAN | PBEsol geometry

```
Co2ReGe2
1.0
-1.731 1.731 5.431
1.731 -1.731 5.431
1.731 1.731 -5.431
Co Re Ge
2 1 2
Direct
0.250 0.750 0.500 Co
0.750 0.250 0.500 Co
0.000 0.000 0.000 Re
0.386 0.386 0.000 Ge
0.614 0.614 0.000 Ge
```

Output
Total energy (eV per atom): -28.296
DOS at the Fermi energy (states/eV/atom): 0.624
Calculated formation energy (eV per atom): 0.480
Density (g/cm3): 11.465

No. 4
CoReGeSe2 | meta-GGA SCAN | PBEsol geometry

```
CoReGeSe2
1.0
4.766 0.000 0.000
0.000 4.766 0.000
0.000 0.000 4.515
Co Re Ge Se
1 1 1 2
Direct
0.000 0.000 0.000 Co
0.000 0.000 0.500 Re
0.500 0.500 0.000 Ge
0.000 0.500 0.500 Se
0.500 0.000 0.500 Se
```

Output
Total energy (eV per atom): -28.490
DOS at the Fermi energy (states/eV/atom): 0.594
Density (g/cm3): 7.704

No. 5
Co3GeRh | meta-GGA SCAN | PBEsol geometry

```
Co3GeRh
1.0
4.191 0.000 0.000
0.000 4.191 0.000
0.000 0.000 4.191
Co Ge Rh
3 1 1
Direct
0.000 0.000 0.500 Co
0.000 0.500 0.000 Co
0.500 0.000 0.000 Co
0.000 0.000 0.000 Ge
0.500 0.500 0.500 Rh
```

Output
Total energy (eV per atom): -19.890
DOS at the Fermi energy (states/eV/atom): 1.310
Calculated formation energy (eV per atom): 1.064
Density (g/cm3): 7.949

No. 6
TiCo2GeS | meta-GGA SCAN | PBEsol geometry

```
TiCo2GeS
1.0
4.226 0.000 0.000
0.000 4.226 0.000
0.000 0.000 4.803
Ti Co Ge S
1 2 1 1
Direct
0.000 0.000 0.000 Ti
0.000 0.500 0.500 Co
0.500 0.000 0.500 Co
0.000 0.000 0.500 Ge
0.500 0.500 0.000 S
```

Output
Total energy (eV per atom): -15.256
DOS at the Fermi energy (states/eV/atom): 0.686
Density (g/cm3): 5.235